(1)
{
  "formula": "Sm8Ag2Ir",
  "functional": "GGA-PBE",
  "state": "optimized geometry",
  "total_energy_ev_per_atom": -4.984,
  "formation_energy_ev_per_atom": -0.23,
  "m_tot_mub_per_atom": 0.000,
  "cell": [[-1.489, -2.487, 4.415], [-0.251, -6.028, -3.481], [9.081, 1.940, 0.995]],
  "species": ["Sm", "Sm", "Sm", "Sm", "Sm", "Sm", "Sm", "Sm", "Ag", "Ag", "Ir"],
  "fractional_positions": [[0.412, 0.566, 0.823], [0.659, 0.974, 0.318], [0.798, 0.683, 0.597], [0.973, 0.209, 0.947], [0.202, 0.317, 0.403], [0.341, 0.026, 0.682], [0.588, 0.434, 0.177], [0.027, 0.791, 0.053], [0.816, 0.274, 0.632], [0.184, 0.726, 0.368], [0.500, 0.000, 0.000]]
}

---

(2)
{
  "formula": "Sm3AgIr",
  "functional": "GGA-PBE",
  "state": "optimized geometry",
  "total_energy_ev_per_atom": -5.543,
  "formation_energy_ev_per_atom": -0.37,
  "m_tot_mub_per_atom": 0.000,
  "relative_energy_mev_per_atom": 96,
  "cell": [[-4.211, -6.000, -0.824], [7.314, -5.186, 0.392], [0.786, -1.755, 8.766]],
  "species": ["Sm", "Sm", "Sm", "Sm", "Sm", "Sm", "Sm", "Sm", "Sm", "Sm", "Sm", "Sm", "Ag", "Ag", "Ag", "Ag", "Ir", "Ir", "Ir", "Ir"],
  "fractional_positions": [[0.494, 0.305, 0.963], [0.006, 0.037, 0.695], [0.506, 0.695, 0.037], [0.994, 0.963, 0.305], [0.994, 0.695, 0.037], [0.506, 0.963, 0.305], [0.006, 0.305, 0.963], [0.494, 0.037, 0.695], [0.500, 0.371, 0.371], [0.000, 0.629, 0.629], [0.500, 0.629, 0.629], [0.000, 0.371, 0.371], [0.250, 0.998, 0.002], [0.750, 0.002, 0.998], [0.250, 0.671, 0.329], [0.750, 0.329, 0.671], [0.750, 0.435, 0.128], [0.750, 0.872, 0.565], [0.250, 0.565, 0.872], [0.250, 0.128, 0.435]]
}

---

(3)
{
  "formula": "Sm4Ag2Ir",
  "functional": "GGA-PBE",
  "state": "optimized geometry",
  "total_energy_ev_per_atom": -5.065,
  "formation_energy_ev_per_atom": -0.29,
  "m_tot_mub_per_atom": 0.000,
  "cell": [[-2.165, 4.520, 1.097], [-1.556, 1.005, 4.784], [6.257, 5.002, 3.735]],
  "species": ["Ir", "Ag", "Ag", "Sm", "Sm", "Sm", "Sm"],
  "fractional_positions": [[0.000, 0.000, 0.000], [0.755, 0.755, 0.734], [0.245, 0.245, 0.266], [0.881, 0.881, 0.358], [0.119, 0.119, 0.642], [0.629, 0.629, 0.113], [0.371, 0.371, 0.887]]
}